<A>
This record from Alexandria describes crystalline CeCoNi at its relaxed geometry. The functional is PBE.

The structure in POSCAR format:
```
CeCoNi
1.0
-1.759 1.759 3.996
1.759 -1.759 3.996
1.759 1.759 -3.996
Ce Co Ni
1 1 1
Direct
0.000 0.000 0.000
0.719 0.719 0.000
0.322 0.322 0.000
```

Calculated values
Space-group type: I4mm, No. 107
N(E_F) (states/eV per cell): 3.71

<B>
This record from Alexandria describes crystalline CeCoNi at its relaxed geometry. The functional is PBE.

The structure in POSCAR format:
```
CeCoNi
1.0
6.664 0.000 0.000
0.000 5.674 0.000
-1.749 0.000 5.093
Ce Co Ni
4 4 4
Direct
0.228 0.072 0.479
0.228 0.428 0.979
0.772 0.572 0.021
0.772 0.928 0.521
0.497 0.684 0.367
0.497 0.816 0.867
0.503 0.184 0.133
0.503 0.316 0.633
0.173 0.596 0.497
0.173 0.904 0.997
0.827 0.096 0.003
0.827 0.404 0.503
```

Calculated values
Space-group type: P2_1/c, No. 14
N(E_F) (states/eV per cell): 8.61

Best to worst by energy: <B>, <A>.

<A>
This record from Alexandria describes crystalline CeCoNi3 at its relaxed geometry. The functional is PBE.

The structure in POSCAR format:
```
CeCoNi3
1.0
2.567 -5.892 0.000
2.567 5.892 0.000
0.000 0.000 4.733
Ce Co Ni
2 2 6
Direct
0.114 0.886 0.750
0.886 0.114 0.250
0.500 0.500 0.000
0.500 0.500 0.500
0.113 0.411 0.750
0.319 0.681 0.250
0.411 0.113 0.250
0.589 0.887 0.750
0.681 0.319 0.750
0.887 0.589 0.250
```

Calculated values
Space-group type: Cmcm, No. 63
N(E_F) (states/eV per cell): 11.05

<B>
This record from Alexandria describes crystalline CeCoNi3 at its relaxed geometry. The functional is PBE.

The structure in POSCAR format:
```
CeCoNi3
1.0
3.237 -5.595 0.000
3.237 5.595 0.000
0.000 0.000 4.413
Ce Co Ni
2 2 6
Direct
0.102 0.898 0.750
0.898 0.102 0.250
0.317 0.683 0.750
0.683 0.317 0.250
0.116 0.531 0.250
0.469 0.884 0.250
0.500 0.500 0.000
0.500 0.500 0.500
0.531 0.116 0.750
0.884 0.469 0.750
```

Calculated values
Space-group type: Cmcm, No. 63
N(E_F) (states/eV per cell): 14.79

Best to worst by energy: <A>, <B>.